[1]
Computed, not measured: crystalline SrCeV2O8 at its relaxed geometry at the PBE with a Hubbard U level of DFT.

a = 5.788 Å, b = 5.788 Å, c = 7.210 Å
α = 90.00°, β = 90.00°, γ = 120.00°
Atoms (fractional coordinates):
O (0.667, 0.333, 0.984)
O (0.163, 0.330, 0.710)
O (0.333, 0.667, 0.016)
O (0.833, 0.163, 0.290)
O (0.330, 0.167, 0.290)
O (0.837, 0.670, 0.290)
O (0.670, 0.833, 0.710)
O (0.167, 0.837, 0.710)
Ce (0.000, 0.000, 0.500)
Sr (0.000, 0.000, 0.000)
V (0.667, 0.333, 0.215)
V (0.333, 0.667, 0.785)

Calculated values
V = 209.2 Å³/cell
N(E_F) = 0.00 states/eV/f.u.
spin magnetization = 0.000 μB per atom
space-group type = No. 147
E = -7.6866 eV per atom

=====

[2]
Computed, not measured: crystalline Sr2CeVO6 at its relaxed geometry at the PBE with a Hubbard U level of DFT.

a = 5.879 Å, b = 5.879 Å, c = 5.879 Å
α = 60.00°, β = 60.00°, γ = 60.00°
Each line ends with the local moment (μB).
Atoms (fractional coordinates):
O (0.266, 0.266, 0.734)  -0.04
O (0.734, 0.266, 0.266)  -0.04
O (0.266, 0.734, 0.734)  -0.04
O (0.734, 0.734, 0.266)  -0.04
O (0.266, 0.734, 0.266)  -0.04
O (0.734, 0.266, 0.734)  -0.04
Sr (0.750, 0.750, 0.750)  0.00
Sr (0.250, 0.250, 0.250)  0.00
Ce (0.000, 0.000, 0.000)  0.12
V (0.500, 0.500, 0.500)  1.00

Calculated values
V = 143.7 Å³/cell
N(E_F) = 4.81 states/eV/f.u.
spin magnetization = 0.100 μB per atom
excess energy over the best structure of this formula in the dataset = 90 meV per atom
space-group type = No. 225

=====

[3]
Computed, not measured: crystalline SrCe3V4O16 at its relaxed geometry at the PBE with a Hubbard U level of DFT.

a = 7.411 Å, b = 7.411 Å, c = 6.524 Å
α = 90.00°, β = 90.00°, γ = 90.00°
Each line ends with the local moment (μB).
Atoms (fractional coordinates):
O (0.500, 0.688, 0.161)  -0.01
O (0.500, 0.173, 0.577)  -0.01
O (0.827, 0.500, 0.423)  -0.01
O (0.000, 0.683, 0.075)  -0.01
O (0.000, 0.180, 0.673)  -0.01
O (0.000, 0.820, 0.673)  -0.01
O (0.683, 0.000, 0.925)  -0.01
O (0.820, 0.000, 0.327)  -0.01
O (0.312, 0.500, 0.839)  -0.01
O (0.500, 0.312, 0.161)  -0.01
O (0.173, 0.500, 0.423)  -0.01
O (0.500, 0.827, 0.577)  -0.01
O (0.000, 0.317, 0.075)  -0.01
O (0.317, 0.000, 0.925)  -0.01
O (0.180, 0.000, 0.327)  -0.01
O (0.688, 0.500, 0.839)  -0.01
Ce (0.000, 0.000, 0.000)  0.66
Ce (0.000, 0.500, 0.749)  0.63
Ce (0.500, 0.000, 0.251)  0.63
V (0.500, 0.500, 0.000)  0.00
V (0.500, 0.000, 0.752)  0.04
V (0.000, 0.500, 0.248)  0.04
V (0.000, 0.000, 0.500)  0.10
Sr (0.500, 0.500, 0.500)  0.00

Calculated values
V = 358.4 Å³/cell
N(E_F) = 15.87 states/eV/f.u.
spin magnetization = 0.085 μB per atom
space-group type = No. 115
E = -7.9963 eV per atom

=====

[4]
Computed, not measured: crystalline Sr2CeVO6 at its relaxed geometry at the PBE with a Hubbard U level of DFT.

a = 5.851 Å, b = 5.906 Å, c = 8.188 Å
α = 90.00°, β = 89.90°, γ = 90.00°
Each line ends with the local moment (μB).
Atoms (fractional coordinates):
O (0.731, 0.292, 0.541)  0.00
O (0.269, 0.708, 0.459)  0.00
O (0.769, 0.792, 0.959)  0.00
O (0.294, 0.730, 0.044)  0.00
O (0.706, 0.270, 0.956)  0.00
O (0.422, 0.981, 0.774)  -0.03
O (0.206, 0.230, 0.456)  0.00
O (0.578, 0.019, 0.226)  -0.03
O (0.231, 0.208, 0.041)  0.00
O (0.922, 0.519, 0.274)  -0.03
O (0.794, 0.770, 0.544)  0.00
O (0.078, 0.481, 0.726)  -0.03
Sr (0.011, 0.967, 0.250)  0.00
Sr (0.511, 0.533, 0.750)  0.00
Sr (0.989, 0.033, 0.750)  0.00
Sr (0.489, 0.467, 0.250)  0.00
V (0.500, 0.000, 0.000)  1.00
V (0.000, 0.500, 0.500)  1.00
Ce (0.000, 0.500, 0.000)  0.03
Ce (0.500, 0.000, 0.500)  0.03

Calculated values
V = 282.9 Å³/cell
spin magnetization = 0.100 μB per atom
excess energy over the best structure of this formula in the dataset = 0 meV per atom
space-group type = No. 14